Arrangement one

Compound: TbPrCdRu
Source: the Alexandria database
Functional: PBE-GGA
Structure: optimized geometry

a = 5.147 Å, b = 5.147 Å, c = 5.147 Å
α = 60.00°, β = 60.00°, γ = 60.00°
Sites, in units of the cell vectors:
1 Tb 0.000 0.000 0.000
2 Ru 0.750 0.750 0.750
3 Cd 0.250 0.250 0.250
4 Pr 0.500 0.500 0.500

M_tot   0.0 μB per formula unit
Crystal system   cubic



Arrangement two

Compound: TbPrCdRu
Source: the Alexandria database
Functional: PBE-GGA
Structure: optimized geometry

a = 3.538 Å, b = 3.538 Å, c = 7.847 Å
α = 90.00°, β = 90.00°, γ = 90.00°
Sites, in units of the cell vectors:
1 Cd 0.000 0.000 0.085
2 Tb 0.500 0.500 0.354
3 Ru 0.000 0.000 0.558
4 Pr 0.500 0.500 0.787

M_tot   0.0 μB per formula unit
Crystal system   tetragonal



Name the most stable of them. arrangement two.



Arrangement one

Compound: Pr2CdS4
Source: the Alexandria database
Functional: PBE-GGA
Structure: optimized geometry

a = 7.499 Å, b = 7.499 Å, c = 7.499 Å
α = 110.79°, β = 110.79°, γ = 106.87°
Sites, in units of the cell vectors:
1 Cd 0.250 0.750 0.500
2 Cd 0.500 0.500 0.000
3 S 0.257 0.383 0.265
4 S 0.493 0.258 0.626
5 S 0.617 0.882 0.874
6 S 0.632 0.867 0.374
7 S 0.008 0.743 0.126
8 S 0.118 0.992 0.735
9 S 0.133 0.507 0.765
10 S 0.742 0.368 0.235
11 Pr 0.737 0.625 0.612
12 Pr 0.013 0.125 0.388
13 Pr 0.375 0.987 0.112
14 Pr 0.875 0.263 0.888

M_tot   0.0 μB per formula unit
Crystal system   tetragonal



Arrangement two

Compound: Pr2CdS4
Source: the Alexandria database
Functional: PBE-GGA
Structure: optimized geometry

a = 6.890 Å, b = 7.056 Å, c = 7.847 Å
α = 90.00°, β = 106.74°, γ = 90.00°
Sites, in units of the cell vectors:
1 Pr 0.295 0.250 0.947
2 Pr 0.715 0.750 0.552
3 Pr 0.705 0.750 0.053
4 Pr 0.285 0.250 0.448
5 Cd 0.767 0.250 0.815
6 Cd 0.233 0.750 0.185
7 S 0.006 0.750 0.875
8 S 0.508 0.007 0.253
9 S 0.508 0.493 0.253
10 S 0.492 0.993 0.747
11 S 0.492 0.507 0.747
12 S 0.994 0.250 0.125
13 S 0.011 0.750 0.382
14 S 0.989 0.250 0.618

M_tot   0.0 μB per formula unit
Crystal system   monoclinic



Name the most stable of them. arrangement one.



Arrangement one

Compound: PrCdSb2
Source: the Alexandria database
Functional: PBE-GGA
Structure: optimized geometry

a = 4.450 Å, b = 4.450 Å, c = 11.193 Å
α = 90.00°, β = 90.00°, γ = 90.00°
Sites, in units of the cell vectors:
1 Cd 0.000 0.000 0.000
2 Cd 0.500 0.500 0.000
3 Sb 0.000 0.000 0.500
4 Sb 0.500 0.500 0.500
5 Sb 0.500 0.000 0.197
6 Sb 0.000 0.500 0.803
7 Pr 0.000 0.500 0.278
8 Pr 0.500 0.000 0.722

M_tot   0.0 μB per formula unit
Crystal system   tetragonal



Arrangement two

Compound: PrCdSb2
Source: the Alexandria database
Functional: PBE-GGA
Structure: optimized geometry

a = 4.574 Å, b = 4.574 Å, c = 7.329 Å
α = 71.82°, β = 71.82°, γ = 60.00°
Sites, in units of the cell vectors:
1 Cd 0.000 0.000 0.000
2 Pr 0.500 0.500 0.500
3 Sb 0.744 0.744 0.767
4 Sb 0.256 0.256 0.233

M_tot   0.0 μB per formula unit
Crystal system   trigonal



Name the most stable of them. arrangement one.



Arrangement one

Compound: PrScCd4
Source: the Alexandria database
Functional: PBE-GGA
Structure: optimized geometry

a = 3.311 Å, b = 4.996 Å, c = 9.341 Å
α = 90.00°, β = 110.51°, γ = 90.00°
Sites, in units of the cell vectors:
1 Cd 0.825 0.997 0.819
2 Cd 0.663 0.497 0.656
3 Cd 0.340 0.497 0.340
4 Cd 0.178 0.997 0.177
5 Pr 0.501 0.497 0.998
6 Sc 0.001 0.997 0.498

M_tot   0.0 μB per formula unit
Crystal system   monoclinic



Arrangement two

Compound: PrScCd4
Source: the Alexandria database
Functional: PBE-GGA
Structure: optimized geometry

a = 5.895 Å, b = 5.895 Å, c = 5.895 Å
α = 60.00°, β = 60.00°, γ = 60.00°
Last column: magnetic moment on the atom in μB.
Sites, in units of the cell vectors:
1 Sc 0.000 0.000 0.000  0.08
2 Cd 0.625 0.625 0.625  0.00
3 Cd 0.625 0.124 0.625  0.00
4 Cd 0.124 0.625 0.625  0.00
5 Cd 0.625 0.625 0.124  0.00
6 Pr 0.250 0.250 0.250  0.03

M_tot   0.2 μB per formula unit
Crystal system   cubic



Name the most stable of them. arrangement one.



Arrangement one

Compound: PrScCd2
Source: the Alexandria database
Functional: PBE-GGA
Structure: optimized geometry

a = 5.270 Å, b = 5.270 Å, c = 5.270 Å
α = 60.00°, β = 60.00°, γ = 60.00°
Last column: magnetic moment on the atom in μB.
Sites, in units of the cell vectors:
1 Cd 0.750 0.750 0.750  0.01
2 Cd 0.250 0.250 0.250  0.01
3 Sc 0.500 0.500 0.500  0.21
4 Pr 0.000 0.000 0.000  0.10

M_tot   0.5 μB per formula unit
Crystal system   cubic



Arrangement two

Compound: PrScCd2
Source: the Alexandria database
Functional: PBE-GGA
Structure: optimized geometry

a = 3.788 Å, b = 5.236 Å, c = 5.236 Å
α = 90.00°, β = 90.00°, γ = 90.00°
Last column: magnetic moment on the atom in μB.
Sites, in units of the cell vectors:
1 Cd 0.000 0.500 0.000  0.01
2 Cd 0.000 0.000 0.500  0.01
3 Sc 0.500 0.000 0.000  0.21
4 Pr 0.500 0.500 0.500  0.13

M_tot   0.6 μB per formula unit
Crystal system   tetragonal



Name the most stable of them. arrangement one.



Arrangement one

Compound: PrSc2Cd
Source: the Alexandria database
Functional: PBE-GGA
Structure: optimized geometry

a = 3.444 Å, b = 3.444 Å, c = 10.633 Å
α = 80.68°, β = 80.68°, γ = 60.00°
Sites, in units of the cell vectors:
1 Sc 0.258 0.258 0.225
2 Sc 0.075 0.075 0.775
3 Pr 0.500 0.500 0.499
4 Cd 0.666 0.666 0.001

M_tot   0.0 μB per formula unit
Crystal system   trigonal



Arrangement two

Compound: PrSc2Cd
Source: the Alexandria database
Functional: PBE-GGA
Structure: optimized geometry

a = 4.724 Å, b = 4.700 Å, c = 4.700 Å
α = 90.00°, β = 90.00°, γ = 90.00°
Last column: magnetic moment on the atom in μB.
Sites, in units of the cell vectors:
1 Sc 0.000 0.500 0.000  0.17
2 Sc 0.000 0.000 0.500  0.17
3 Pr 0.500 0.500 0.500  0.14
4 Cd 0.500 0.000 0.000  0.00

M_tot   0.7 μB per formula unit
Crystal system   tetragonal



Name the most stable of them. arrangement two.



Arrangement one

Compound: PrSc2Cd
Source: the Alexandria database
Functional: PBE-GGA
Structure: optimized geometry

a = 5.242 Å, b = 5.242 Å, c = 5.242 Å
α = 60.00°, β = 60.00°, γ = 60.00°
Last column: magnetic moment on the atom in μB.
Sites, in units of the cell vectors:
1 Sc 0.750 0.750 0.750  0.56
2 Sc 0.250 0.250 0.250  0.56
3 Cd 0.500 0.500 0.500  0.01
4 Pr 0.000 0.000 0.000  0.61

M_tot   2.8 μB per formula unit
Crystal system   cubic



Arrangement two

Compound: PrSc2Cd
Source: the Alexandria database
Functional: PBE-GGA
Structure: optimized geometry

a = 3.474 Å, b = 3.474 Å, c = 8.633 Å
α = 90.00°, β = 90.00°, γ = 90.00°
Sites, in units of the cell vectors:
1 Sc 0.000 0.000 0.215
2 Sc 0.000 0.000 0.785
3 Cd 0.500 0.500 0.000
4 Pr 0.500 0.500 0.500

M_tot   0.0 μB per formula unit
Crystal system   tetragonal



Name the most stable of them. arrangement two.



Arrangement one

Compound: Pr3ScCd2
Source: the Alexandria database
Functional: PBE-GGA
Structure: optimized geometry

a = 3.805 Å, b = 5.517 Å, c = 8.890 Å
α = 108.33°, β = 90.00°, γ = 90.00°
Last column: magnetic moment on the atom in μB.
Sites, in units of the cell vectors:
1 Pr 0.500 0.170 0.342  0.04
2 Pr 0.500 0.830 0.658  0.04
3 Pr 0.500 0.500 0.000  0.04
4 Cd 0.000 0.342 0.682  0.00
5 Cd 0.000 0.658 0.318  0.00
6 Sc 0.000 0.000 0.000  0.12

M_tot   0.4 μB per formula unit
Crystal system   monoclinic



Arrangement two

Compound: Pr3ScCd2
Source: the Alexandria database
Functional: PBE-GGA
Structure: optimized geometry

a = 6.915 Å, b = 6.820 Å, c = 9.221 Å
α = 111.70°, β = 112.02°, γ = 90.00°
Sites, in units of the cell vectors:
1 Cd 0.645 0.875 0.751
2 Cd 0.355 0.125 0.249
3 Cd 0.894 0.625 0.249
4 Cd 0.106 0.375 0.751
5 Pr 0.422 0.678 0.357
6 Pr 0.500 0.250 0.000
7 Pr 0.935 0.178 0.357
8 Pr 0.065 0.822 0.643
9 Pr 0.578 0.322 0.643
10 Pr 0.500 0.750 0.000
11 Sc 0.000 0.750 0.000
12 Sc 0.000 0.250 0.000

M_tot   0.0 μB per formula unit
Crystal system   orthorhombic



Name the most stable of them. arrangement one.



Arrangement one

Compound: Pr2ScCd
Source: the Alexandria database
Functional: PBE-GGA
Structure: optimized geometry

a = 3.753 Å, b = 3.753 Å, c = 8.502 Å
α = 90.00°, β = 90.00°, γ = 90.00°
Last column: magnetic moment on the atom in μB.
Sites, in units of the cell vectors:
1 Sc 0.500 0.500 0.500  0.20
2 Cd 0.500 0.500 0.000  0.00
3 Pr 0.000 0.000 0.243  0.08
4 Pr 0.000 0.000 0.757  0.08

M_tot   0.6 μB per formula unit
Crystal system   tetragonal



Arrangement two

Compound: Pr2ScCd
Source: the Alexandria database
Functional: PBE-GGA
Structure: optimized geometry

a = 5.500 Å, b = 5.500 Å, c = 5.500 Å
α = 60.00°, β = 60.00°, γ = 60.00°
Sites, in units of the cell vectors:
1 Sc 0.000 0.000 0.000
2 Pr 0.750 0.750 0.750
3 Pr 0.250 0.250 0.250
4 Cd 0.500 0.500 0.500

M_tot   0.0 μB per formula unit
Crystal system   cubic



Name the most stable of them. arrangement one.



Arrangement one

Compound: PrScZnCd
Source: the Alexandria database
Functional: PBE-GGA
Structure: optimized geometry

a = 3.535 Å, b = 3.535 Å, c = 7.585 Å
α = 90.00°, β = 90.00°, γ = 90.00°
Sites, in units of the cell vectors:
1 Zn 0.000 0.000 0.533
2 Sc 0.500 0.500 0.342
3 Cd 0.000 0.000 0.107
4 Pr 0.500 0.500 0.803

M_tot   0.0 μB per formula unit
Crystal system   tetragonal



Arrangement two

Compound: PrScZnCd
Source: the Alexandria database
Functional: PBE-GGA
Structure: optimized geometry

a = 5.157 Å, b = 5.157 Å, c = 5.157 Å
α = 60.00°, β = 60.00°, γ = 60.00°
Last column: magnetic moment on the atom in μB.
Sites, in units of the cell vectors:
1 Pr 0.500 0.500 0.500  0.06
2 Cd 0.250 0.250 0.250  0.01
3 Sc 0.000 0.000 0.000  0.12
4 Zn 0.750 0.750 0.750  0.00

M_tot   0.3 μB per formula unit
Crystal system   cubic



Name the most stable of them. arrangement one.



Arrangement one

Compound: PrCdSe2
Source: the Alexandria database
Functional: PBE-GGA
Structure: optimized geometry

a = 4.099 Å, b = 4.099 Å, c = 9.060 Å
α = 76.93°, β = 76.93°, γ = 60.00°
Sites, in units of the cell vectors:
1 Cd 0.500 0.500 0.500
2 Pr 0.000 0.000 0.000
3 Se 0.108 0.108 0.677
4 Se 0.892 0.892 0.323

M_tot   0.0 μB per formula unit
Crystal system   trigonal



Arrangement two

Compound: PrCdSe2
Source: the Alexandria database
Functional: PBE-GGA
Structure: optimized geometry

a = 4.332 Å, b = 4.332 Å, c = 25.956 Å
α = 90.00°, β = 90.00°, γ = 60.00°
Sites, in units of the cell vectors:
1 Cd 0.664 0.336 0.333
2 Cd 0.000 0.664 0.000
3 Cd 0.336 0.000 0.667
4 Se 0.004 0.663 0.896
5 Se 0.663 0.333 0.230
6 Se 0.996 0.667 0.104
7 Se 0.667 0.337 0.437
8 Se 0.337 0.996 0.770
9 Se 0.333 0.004 0.563
10 Pr 0.671 0.329 0.833
11 Pr 0.000 0.671 0.500
12 Pr 0.329 0.000 0.167

M_tot   0.0 μB per formula unit
Crystal system   trigonal



Name the most stable of them. arrangement two.



Arrangement one

Compound: Pr2Sm3Cd2
Source: the Alexandria database
Functional: PBE-GGA
Structure: optimized geometry

a = 3.659 Å, b = 3.617 Å, c = 16.751 Å
α = 90.00°, β = 96.27°, γ = 90.00°
Last column: magnetic moment on the atom in μB.
Sites, in units of the cell vectors:
1 Sm 0.576 0.500 0.152  0.00
2 Sm 0.424 0.500 0.848  0.00
3 Sm 0.000 0.000 0.000  0.00
4 Pr 0.297 0.500 0.594  0.15
5 Pr 0.703 0.500 0.406  0.15
6 Cd 0.138 0.000 0.276  0.00
7 Cd 0.862 0.000 0.724  0.00

M_tot   0.6 μB per formula unit
Crystal system   orthorhombic



Arrangement two

Compound: Pr2Sm3Cd2
Source: the Alexandria database
Functional: PBE-GGA
Structure: optimized geometry

a = 5.548 Å, b = 5.550 Å, c = 8.793 Å
α = 108.38°, β = 90.00°, γ = 119.99°
Sites, in units of the cell vectors:
1 Sm 0.500 0.000 0.000
2 Sm 0.343 0.685 0.528
3 Sm 0.657 0.315 0.472
4 Cd 0.212 0.424 0.136
5 Cd 0.788 0.576 0.864
6 Pr 0.925 0.850 0.275
7 Pr 0.075 0.150 0.725

M_tot   0.0 μB per formula unit
Crystal system   trigonal



Name the most stable of them. arrangement two.



Arrangement one

Compound: Pr2Sm3Cd
Source: the Alexandria database
Functional: PBE-GGA
Structure: optimized geometry

a = 3.684 Å, b = 3.684 Å, c = 14.390 Å
α = 90.00°, β = 90.00°, γ = 90.00°
Sites, in units of the cell vectors:
1 Pr 0.500 0.500 0.820
2 Pr 0.500 0.500 0.180
3 Sm 0.000 0.000 0.357
4 Sm 0.000 0.000 0.000
5 Sm 0.000 0.000 0.643
6 Cd 0.500 0.500 0.500

M_tot   0.0 μB per formula unit
Crystal system   tetragonal



Arrangement two

Compound: Pr2Sm3Cd
Source: the Alexandria database
Functional: PBE-GGA
Structure: optimized geometry

a = 3.455 Å, b = 6.658 Å, c = 9.606 Å
α = 110.28°, β = 100.36°, γ = 90.00°
Sites, in units of the cell vectors:
1 Pr 0.691 0.311 0.382
2 Pr 0.309 0.929 0.618
3 Sm 0.000 0.927 0.000
4 Sm 0.367 0.490 0.733
5 Sm 0.633 0.757 0.267
6 Cd 0.500 0.328 0.000

M_tot   0.0 μB per formula unit
Crystal system   orthorhombic



Name the most stable of them. arrangement one.